No. 1
Below is a relaxed structure of YCd, with properties calculated at the PBE level.

a = 3.408 Å, b = 3.408 Å, c = 11.633 Å
α = 90.00°, β = 90.00°, γ = 120.00°
Positions (direct):
Cd 0.333 0.667 0.048
Cd 0.667 0.333 0.548
Y 0.667 0.333 0.823
Y 0.333 0.667 0.323

Results
The calculated formation energy is 122 meV per atom. Its density is 5.7 g/cm³. As for the symmetry: P6_3mc (186).

=====

No. 2
Below is a relaxed structure of LiZn4Cu7, with properties calculated at the PBE level.

a = 4.253 Å, b = 7.203 Å, c = 6.271 Å
α = 86.19°, β = 70.18°, γ = 72.83°
Positions (direct):
Li 0.000 0.000 0.000
Zn 0.380 0.848 0.393
Zn 0.620 0.152 0.607
Zn 0.672 0.638 0.017
Zn 0.328 0.362 0.983
Cu 0.954 0.403 0.689
Cu 0.353 0.605 0.689
Cu 0.775 0.799 0.651
Cu 0.500 0.000 0.000
Cu 0.647 0.395 0.311
Cu 0.225 0.201 0.349
Cu 0.046 0.597 0.311

Results
The calculated formation energy is 93 meV per atom. Its density is 6.9 g/cm³. As for the symmetry: C2/m (12).

=====

No. 3
Below is a relaxed structure of As2SeCl, with properties calculated at the PBE level.

a = 3.357 Å, b = 3.357 Å, c = 8.612 Å
α = 90.00°, β = 90.00°, γ = 119.92°
Positions (direct):
As 0.000 0.000 0.990
As 0.000 0.000 0.510
Cl 0.500 0.500 0.250
Se 0.500 0.500 0.750

Results
Its offset from the most stable computed form is 42.7 kJ per mole of atoms. Its density is 5.2 g/cm³. As for the symmetry: Cmmm (65).

=====

| no. | uncorrected energy (eV per atom) | calculated volume (Å³ per atom) |
| --- | --- | --- |
| 1 | -3.568 | 29.25 |
| 2 | -2.880 | 14.38 |
| 3 | -3.347 | 21.02 |